No. 1
The following is a PBE calculation of InSb2 after structural relaxation, from Alexandria. Values from VASP.

Computed properties:
- energy relative to the elements, uncorrected (eV per atom) = 0.186
- crystal system = hexagonal
- VASP energy (eV for the cell shown) = -31.272
- volume (Å³/f.u.) = 87.8

```
&SYSTEM
  ibrav = 0, nat = 9, ntyp = 2
/
ATOMIC_SPECIES
In 114.82 In.upf
Sb 121.76 Sb.upf
ATOMIC_POSITIONS crystal
In 0.333 0.667 0.000
In 0.667 0.333 0.000
In 0.000 0.000 0.500
Sb 0.290 0.000 0.000
Sb 0.000 0.290 0.000
Sb 0.710 0.710 0.000
Sb 0.558 0.000 0.500
Sb 0.000 0.558 0.500
Sb 0.442 0.442 0.500
CELL_PARAMETERS angstrom
5.805 1.273 6.310
-5.851 6.135 -1.808
-2.552 -1.644 2.679
```



No. 2
The following is a PBE calculation of InSb after structural relaxation, from Alexandria. Values from VASP.

Computed properties:
- energy relative to the elements, uncorrected (eV per atom) = 0.067
- crystal system = orthorhombic
- VASP energy (eV for the cell shown) = -40.366
- volume (Å³/f.u.) = 82.4

```
&SYSTEM
  ibrav = 0, nat = 12, ntyp = 2
/
ATOMIC_SPECIES
In 114.82 In.upf
Sb 121.76 Sb.upf
ATOMIC_POSITIONS crystal
In 0.788 0.333 0.651
In 0.712 0.667 0.151
In 0.212 0.333 0.651
In 0.288 0.667 0.151
In 0.000 0.056 0.426
In 0.500 0.944 0.926
Sb 0.795 0.164 0.311
Sb 0.705 0.836 0.811
Sb 0.205 0.164 0.311
Sb 0.295 0.836 0.811
Sb 0.000 0.562 0.652
Sb 0.500 0.438 0.152
CELL_PARAMETERS angstrom
-11.691 -1.749 5.598
-1.088 -3.068 -3.231
3.136 -6.027 4.667
```



No. 3
The following is a PBE calculation of InSb after structural relaxation, from Alexandria. Values from VASP.

Computed properties:
- energy relative to the elements, uncorrected (eV per atom) = 0.091
- crystal system = tetragonal
- VASP energy (eV for the cell shown) = -53.430
- volume (Å³/f.u.) = 64.0

```
&SYSTEM
  ibrav = 0, nat = 16, ntyp = 2
/
ATOMIC_SPECIES
In 114.82 In.upf
Sb 121.76 Sb.upf
ATOMIC_POSITIONS crystal
In 0.995 0.705 0.500
In 0.005 0.295 0.500
In 0.295 0.995 0.500
In 0.705 0.005 0.500
In 0.859 0.460 0.000
In 0.141 0.540 0.000
In 0.540 0.859 0.000
In 0.460 0.141 0.000
Sb 0.706 0.522 0.500
Sb 0.294 0.478 0.500
Sb 0.478 0.706 0.500
Sb 0.522 0.294 0.500
Sb 0.857 0.846 0.000
Sb 0.143 0.154 0.000
Sb 0.154 0.857 0.000
Sb 0.846 0.143 0.000
CELL_PARAMETERS angstrom
-0.022 -0.187 10.156
10.038 -1.560 -0.007
0.762 4.902 0.092
```



No. 4
The following is a PBE calculation of In5Sb after structural relaxation, from Alexandria. Values from VASP.

Computed properties:
- energy relative to the elements, uncorrected (eV per atom) = 0.032
- crystal system = orthorhombic
- VASP energy (eV for the cell shown) = -17.624
- E above lowest polymorph (meV/atom) = 14.6
- volume (Å³/f.u.) = 167.7

```
&SYSTEM
  ibrav = 0, nat = 6, ntyp = 2
/
ATOMIC_SPECIES
In 114.82 In.upf
Sb 121.76 Sb.upf
ATOMIC_POSITIONS crystal
In 0.011 0.989 0.000
In 0.345 0.655 0.000
In 0.674 0.326 0.000
In 0.438 0.562 0.500
In 0.766 0.234 0.500
Sb 0.099 0.901 0.500
CELL_PARAMETERS angstrom
-8.824 -1.600 2.797
9.389 -0.161 -0.246
0.166 4.745 3.239
```



No. 5
The following is a PBE calculation of InSb2 after structural relaxation, from Alexandria. Values from VASP.

Computed properties:
- energy relative to the elements, uncorrected (eV per atom) = 0.132
- crystal system = tetragonal
- VASP energy (eV for the cell shown) = -21.175
- volume (Å³/f.u.) = 90.3

```
&SYSTEM
  ibrav = 0, nat = 6, ntyp = 2
/
ATOMIC_SPECIES
In 114.82 In.upf
Sb 121.76 Sb.upf
ATOMIC_POSITIONS crystal
In 0.000 0.000 0.000
In 0.750 0.250 0.500
Sb 0.579 0.579 0.000
Sb 0.171 0.671 0.500
Sb 0.421 0.421 0.000
Sb 0.329 0.829 0.500
CELL_PARAMETERS angstrom
-1.971 1.971 11.628
1.971 -1.971 11.628
1.971 1.971 -11.628
```



No. 6
The following is a PBE calculation of InSb after structural relaxation, from Alexandria. Values from VASP.

Computed properties:
- energy relative to the elements, uncorrected (eV per atom) = 0.015
- crystal system = orthorhombic
- VASP energy (eV for the cell shown) = -27.323
- volume (Å³/f.u.) = 57.7

```
&SYSTEM
  ibrav = 0, nat = 8, ntyp = 2
/
ATOMIC_SPECIES
In 114.82 In.upf
Sb 121.76 Sb.upf
ATOMIC_POSITIONS crystal
In 0.750 0.750 0.142
In 0.250 0.250 0.358
In 0.750 0.750 0.642
In 0.250 0.250 0.858
Sb 0.750 0.250 0.110
Sb 0.250 0.750 0.390
Sb 0.750 0.250 0.610
Sb 0.250 0.750 0.890
CELL_PARAMETERS angstrom
4.289 0.000 0.000
0.000 6.162 0.000
0.000 0.000 8.732
```



No. 7
The following is a PBE calculation of InSb after structural relaxation, from Alexandria. Values from VASP.

Computed properties:
- energy relative to the elements, uncorrected (eV per atom) = 0.132
- crystal system = trigonal
- VASP energy (eV for the cell shown) = -13.193
- volume (Å³/f.u.) = 54.8

```
&SYSTEM
  ibrav = 0, nat = 4, ntyp = 2
/
ATOMIC_SPECIES
In 114.82 In.upf
Sb 121.76 Sb.upf
ATOMIC_POSITIONS crystal
In 0.000 0.000 0.000
In 0.667 0.333 0.250
Sb 0.000 0.000 0.497
Sb 0.667 0.333 0.753
CELL_PARAMETERS angstrom
3.400 0.000 0.000
-1.700 2.945 0.000
0.000 0.000 10.937
```



No. 8
The following is a PBE calculation of In5Sb after structural relaxation, from Alexandria. Values from VASP.

Computed properties:
- energy relative to the elements, uncorrected (eV per atom) = 0.161
- crystal system = cubic
- VASP energy (eV for the cell shown) = -16.849
- E above lowest polymorph (meV/atom) = 143.8
- volume (Å³/f.u.) = 172.8

```
&SYSTEM
  ibrav = 0, nat = 6, ntyp = 2
/
ATOMIC_SPECIES
In 114.82 In.upf
Sb 121.76 Sb.upf
ATOMIC_POSITIONS crystal
In 0.250 0.250 0.250
In 0.625 0.625 0.625
In 0.625 0.625 0.124
In 0.124 0.625 0.625
In 0.625 0.124 0.625
Sb 0.000 0.000 0.000
CELL_PARAMETERS angstrom
1.273 -5.542 -2.598
-4.047 -2.577 -4.008
1.415 -0.351 -6.080
```



No. 9
The following is a PBE calculation of InSb3 after structural relaxation, from Alexandria. Values from VASP.

Computed properties:
- energy relative to the elements, uncorrected (eV per atom) = 0.076
- crystal system = orthorhombic
- VASP energy (eV for the cell shown) = -29.604
- E above lowest polymorph (meV/atom) = 86.0
- volume (Å³/f.u.) = 119.6

```
&SYSTEM
  ibrav = 0, nat = 8, ntyp = 2
/
ATOMIC_SPECIES
In 114.82 In.upf
Sb 121.76 Sb.upf
ATOMIC_POSITIONS crystal
In 0.500 0.000 0.000
In 0.000 0.500 0.000
Sb 0.250 0.000 0.000
Sb 0.750 0.000 0.000
Sb 0.750 0.500 0.000
Sb 0.250 0.500 0.000
Sb 0.000 0.000 0.000
Sb 0.500 0.500 0.000
CELL_PARAMETERS angstrom
12.374 0.000 0.000
0.000 6.112 0.000
0.000 0.000 3.163
```



No. 10
The following is a PBE calculation of InSb after structural relaxation, from Alexandria. Values from VASP.

Computed properties:
- energy relative to the elements, uncorrected (eV per atom) = -0.063
- crystal system = tetragonal
- VASP energy (eV for the cell shown) = -27.951
- volume (Å³/f.u.) = 77.0

```
&SYSTEM
  ibrav = 0, nat = 8, ntyp = 2
/
ATOMIC_SPECIES
In 114.82 In.upf
Sb 121.76 Sb.upf
ATOMIC_POSITIONS crystal
In 0.323 0.677 0.000
In 0.823 0.823 0.500
In 0.177 0.177 0.500
In 0.677 0.323 0.000
Sb 0.319 0.319 0.000
Sb 0.819 0.181 0.500
Sb 0.181 0.819 0.500
Sb 0.681 0.681 0.000
CELL_PARAMETERS angstrom
8.098 0.000 0.000
0.000 8.098 0.000
0.000 0.000 4.695
```



No. 11
The following is a PBE calculation of In3Sb2 after structural relaxation, from Alexandria. Values from VASP.

Computed properties:
- energy relative to the elements, uncorrected (eV per atom) = -0.006
- crystal system = trigonal
- VASP energy (eV for the cell shown) = -16.492
- E above lowest polymorph (meV/atom) = 0.0
- volume (Å³/f.u.) = 157.4

```
&SYSTEM
  ibrav = 0, nat = 5, ntyp = 2
/
ATOMIC_SPECIES
In 114.82 In.upf
Sb 121.76 Sb.upf
ATOMIC_POSITIONS crystal
In 0.000 0.000 0.000
In 0.667 0.333 0.642
In 0.333 0.667 0.358
Sb 0.667 0.333 0.223
Sb 0.333 0.667 0.777
CELL_PARAMETERS angstrom
-4.854 0.226 -0.895
2.195 -4.381 0.631
-1.331 0.388 7.317
```



No. 12
The following is a PBE calculation of InSb after structural relaxation, from Alexandria. Values from VASP.

Computed properties:
- energy relative to the elements, uncorrected (eV per atom) = -0.110
- crystal system = hexagonal
- VASP energy (eV for the cell shown) = -14.163
- volume (Å³/f.u.) = 72.8

```
&SYSTEM
  ibrav = 0, nat = 4, ntyp = 2
/
ATOMIC_SPECIES
In 114.82 In.upf
Sb 121.76 Sb.upf
ATOMIC_POSITIONS crystal
In 0.333 0.667 0.721
In 0.667 0.333 0.221
Sb 0.333 0.667 0.095
Sb 0.667 0.333 0.595
CELL_PARAMETERS angstrom
4.675 0.000 0.000
-2.337 4.049 0.000
0.000 0.000 7.690
```



No. 13
The following is a PBE calculation of In5Sb3 after structural relaxation, from Alexandria. Values from VASP.

Computed properties:
- energy relative to the elements, uncorrected (eV per atom) = 0.020
- crystal system = monoclinic
- VASP energy (eV for the cell shown) = -51.794
- E above lowest polymorph (meV/atom) = 5.6
- volume (Å³/f.u.) = 230.0

```
&SYSTEM
  ibrav = 0, nat = 16, ntyp = 2
/
ATOMIC_SPECIES
Sb 121.76 Sb.upf
In 114.82 In.upf
ATOMIC_POSITIONS crystal
Sb 0.750 0.749 0.000
Sb 0.249 0.251 0.000
Sb 0.343 0.156 0.500
Sb 0.656 0.844 0.500
Sb 0.153 0.654 0.817
Sb 0.846 0.346 0.183
In 0.248 0.749 0.501
In 0.751 0.251 0.499
In 0.772 0.080 0.856
In 0.228 0.920 0.144
In 0.725 0.581 0.308
In 0.274 0.419 0.692
In 0.580 0.272 0.856
In 0.420 0.728 0.144
In 0.081 0.225 0.308
In 0.918 0.775 0.692
CELL_PARAMETERS angstrom
-8.859 -1.243 2.007
6.607 -3.411 -5.363
3.297 -3.282 7.885
```



No. 14
The following is a PBE calculation of InSb5 after structural relaxation, from Alexandria. Values from VASP.

Computed properties:
- energy relative to the elements, uncorrected (eV per atom) = 0.235
- crystal system = tetragonal
- VASP energy (eV for the cell shown) = -21.943
- E above lowest polymorph (meV/atom) = 69.9
- volume (Å³/f.u.) = 168.2

```
&SYSTEM
  ibrav = 0, nat = 6, ntyp = 2
/
ATOMIC_SPECIES
In 114.82 In.upf
Sb 121.76 Sb.upf
ATOMIC_POSITIONS crystal
In 0.500 0.500 0.000
Sb 0.000 0.000 0.834
Sb 0.000 0.000 0.166
Sb 0.500 0.500 0.664
Sb 0.500 0.500 0.336
Sb 0.000 0.000 0.500
CELL_PARAMETERS angstrom
3.180 0.000 0.000
0.000 3.180 0.000
0.000 0.000 16.629
```



No. 15
The following is a PBE calculation of In5Sb3 after structural relaxation, from Alexandria. Values from VASP.

Computed properties:
- energy relative to the elements, uncorrected (eV per atom) = 0.017
- crystal system = tetragonal
- VASP energy (eV for the cell shown) = -51.854
- E above lowest polymorph (meV/atom) = 1.8
- volume (Å³/f.u.) = 222.2

```
&SYSTEM
  ibrav = 0, nat = 16, ntyp = 2
/
ATOMIC_SPECIES
In 114.82 In.upf
Sb 121.76 Sb.upf
ATOMIC_POSITIONS crystal
In 0.000 0.000 0.000
In 0.500 0.500 0.000
In 0.195 0.988 0.500
In 0.488 0.695 0.500
In 0.988 0.488 0.792
In 0.695 0.195 0.208
In 0.805 0.012 0.500
In 0.512 0.305 0.500
In 0.012 0.512 0.208
In 0.305 0.805 0.792
Sb 0.750 0.750 0.000
Sb 0.250 0.250 0.000
Sb 0.155 0.345 0.500
Sb 0.845 0.655 0.500
Sb 0.345 0.845 0.189
Sb 0.655 0.155 0.811
CELL_PARAMETERS angstrom
-4.176 4.176 6.370
4.176 -4.176 6.370
4.176 4.176 -6.370
```



No. 16
The following is a PBE calculation of InSb after structural relaxation, from Alexandria. Values from VASP.

Computed properties:
- energy relative to the elements, uncorrected (eV per atom) = -0.001
- crystal system = orthorhombic
- VASP energy (eV for the cell shown) = -41.176
- volume (Å³/f.u.) = 57.9

```
&SYSTEM
  ibrav = 0, nat = 12, ntyp = 2
/
ATOMIC_SPECIES
In 114.82 In.upf
Sb 121.76 Sb.upf
ATOMIC_POSITIONS crystal
In 0.063 0.937 0.750
In 0.937 0.063 0.250
In 0.419 0.581 0.912
In 0.581 0.419 0.412
In 0.581 0.419 0.088
In 0.419 0.581 0.588
Sb 0.560 0.440 0.750
Sb 0.440 0.560 0.250
Sb 0.920 0.080 0.925
Sb 0.080 0.920 0.425
Sb 0.080 0.920 0.075
Sb 0.920 0.080 0.575
CELL_PARAMETERS angstrom
3.058 -3.137 0.000
3.058 3.137 0.000
0.000 0.000 18.111
```



No. 17
The following is a PBE calculation of InSb3 after structural relaxation, from Alexandria. Values from VASP.

Computed properties:
- energy relative to the elements, uncorrected (eV per atom) = 0.008
- crystal system = orthorhombic
- VASP energy (eV for the cell shown) = -30.144
- E above lowest polymorph (meV/atom) = 18.5
- volume (Å³/f.u.) = 122.5

```
&SYSTEM
  ibrav = 0, nat = 8, ntyp = 2
/
ATOMIC_SPECIES
In 114.82 In.upf
Sb 121.76 Sb.upf
ATOMIC_POSITIONS crystal
In 0.000 0.499 0.235
In 0.500 0.501 0.735
Sb 0.000 0.500 0.683
Sb 0.500 0.500 0.183
Sb 0.000 0.999 0.159
Sb 0.500 0.001 0.659
Sb 0.000 0.000 0.721
Sb 0.500 0.000 0.221
CELL_PARAMETERS angstrom
6.100 0.000 0.000
0.000 6.086 0.000
0.000 0.000 6.599
```



No. 18
The following is a PBE calculation of InSb3 after structural relaxation, from Alexandria. Values from VASP.

Computed properties:
- energy relative to the elements, uncorrected (eV per atom) = 0.186
- crystal system = orthorhombic
- VASP energy (eV for the cell shown) = -14.360
- E above lowest polymorph (meV/atom) = 196.6
- volume (Å³/f.u.) = 111.0

```
&SYSTEM
  ibrav = 0, nat = 4, ntyp = 2
/
ATOMIC_SPECIES
In 114.82 In.upf
Sb 121.76 Sb.upf
ATOMIC_POSITIONS crystal
In 0.000 0.000 0.000
Sb 0.000 0.500 0.500
Sb 0.500 0.000 0.500
Sb 0.500 0.500 0.000
CELL_PARAMETERS angstrom
6.346 -0.392 0.000
-2.763 5.727 0.000
0.000 0.000 3.148
```



No. 19
The following is a PBE calculation of InSb5 after structural relaxation, from Alexandria. Values from VASP.

Computed properties:
- energy relative to the elements, uncorrected (eV per atom) = 0.303
- crystal system = cubic
- VASP energy (eV for the cell shown) = -21.535
- E above lowest polymorph (meV/atom) = 138.0
- volume (Å³/f.u.) = 177.3

```
&SYSTEM
  ibrav = 0, nat = 6, ntyp = 2
/
ATOMIC_SPECIES
In 114.82 In.upf
Sb 121.76 Sb.upf
ATOMIC_POSITIONS crystal
In 0.000 0.000 0.000
Sb 0.250 0.250 0.250
Sb 0.625 0.625 0.625
Sb 0.625 0.625 0.125
Sb 0.125 0.625 0.625
Sb 0.625 0.125 0.625
CELL_PARAMETERS angstrom
0.000 4.459 4.459
4.459 0.000 4.459
4.459 4.459 0.000
```



No. 20
The following is a PBE calculation of InSb3 after structural relaxation, from Alexandria. Values from VASP.

Computed properties:
- energy relative to the elements, uncorrected (eV per atom) = 0.175
- crystal system = trigonal
- VASP energy (eV for the cell shown) = -14.404
- E above lowest polymorph (meV/atom) = 185.5
- volume (Å³/f.u.) = 109.0

```
&SYSTEM
  ibrav = 0, nat = 4, ntyp = 2
/
ATOMIC_SPECIES
In 114.82 In.upf
Sb 121.76 Sb.upf
ATOMIC_POSITIONS crystal
In 0.000 0.000 0.000
Sb 0.500 0.000 0.500
Sb 0.500 0.500 0.000
Sb 0.000 0.500 0.500
CELL_PARAMETERS angstrom
6.276 0.007 0.023
-2.855 5.588 0.023
-2.855 -4.671 3.068
```